A plane-wave DFT calculation with PBE was carried out for crystalline CsCe2TlI8 at its relaxed geometry. Values from VASP.

The structure in Quantum ESPRESSO input format:
```
&SYSTEM
  ibrav = 0, nat = 12, ntyp = 4
/
ATOMIC_SPECIES
Cs 132.91 Cs.upf
Ce 140.12 Ce.upf
Tl 204.38 Tl.upf
I 126.90 I.upf
CELL_PARAMETERS angstrom
-7.453 -4.205 0.080
6.598 -3.072 -4.502
2.837 -4.888 7.495
ATOMIC_POSITIONS angstrom
Cs 1.419 -2.444 3.747
Ce -2.522 -4.254 -0.793
Ce 4.504 -7.910 3.865
Tl 0.000 0.000 0.000
I -0.559 -9.940 3.602
I 1.649 -6.721 4.865
I -2.251 -7.134 6.071
I 2.541 -2.225 -0.529
I 0.333 -5.444 -1.792
I 4.233 -5.030 -2.999
I -1.599 -5.844 1.644
I 3.581 -6.321 1.428
```

Results
Spin magnetization   2.00 μB per formula unit
VASP energy   -3.512 eV per atom
ΔE_f (raw)   -1221 meV/atom
SG   P-3
DOS at the Fermi energy   15.724 states/eV/cell